No. 1
DFT (PBE-GGA) results for a relaxed MgFeAu2 crystal.

Computed properties:
V (A^3/atom): 16.64
Formation energy from the elements (meV per atom): -35
ρ (g cm⁻³): 11.83

Unit cell a=2.899 b=2.899 c=7.923 alpha=90.00 beta=90.00 gamma=89.99
Site moments in Bohr magnetons follow the coordinates.
Atoms (fractional coordinates):
Au (0.500, 0.500, 0.273)  0.04
Au (0.000, 0.000, 0.989)  -0.02
Fe (0.000, 0.000, 0.499)  2.69
Mg (0.500, 0.500, 0.739)  -0.03

---

No. 2
DFT (PBE-GGA) results for a relaxed MgFeAu crystal.

Computed properties:
V (A^3/atom): 16.42
Formation energy from the elements (meV per atom): 35
ρ (g cm⁻³): 9.34

Unit cell a=4.453 b=4.453 c=2.869 alpha=90.00 beta=90.00 gamma=120.00
Site moments in Bohr magnetons follow the coordinates.
Atoms (fractional coordinates):
Au (0.000, 0.000, 0.056)  0.04
Mg (0.667, 0.333, 0.667)  -0.02
Fe (0.333, 0.667, 0.277)  2.79

---

No. 3
DFT (PBE-GGA) results for a relaxed MgFe2Au crystal.

Computed properties:
V (A^3/atom): 15.03
Formation energy from the elements (meV per atom): 156
ρ (g cm⁻³): 9.20

Unit cell a=4.873 b=4.873 c=2.772 alpha=90.00 beta=90.00 gamma=114.02
Site moments in Bohr magnetons follow the coordinates.
Atoms (fractional coordinates):
Fe (0.500, 0.500, 0.000)  2.68
Fe (0.000, 0.000, 0.000)  2.68
Mg (0.500, 0.000, 0.500)  -0.04
Au (0.000, 0.500, 0.500)  0.01

---

No. 4
DFT (PBE-GGA) results for a relaxed MgFeAu2 crystal.

Computed properties:
V (A^3/atom): 17.11
Formation energy from the elements (meV per atom): -25
ρ (g cm⁻³): 11.50

Unit cell a=4.577 b=4.577 c=5.521 alpha=81.22 beta=81.22 gamma=36.83
Site moments in Bohr magnetons follow the coordinates.
Atoms (fractional coordinates):
Au (0.997, 0.997, 0.012)  0.02
Au (0.503, 0.503, 0.488)  0.02
Mg (0.750, 0.750, 0.750)  -0.02
Fe (0.250, 0.250, 0.250)  2.92

---

No. 5
DFT (PBE-GGA) results for a relaxed MgFe2Au crystal.

Computed properties:
V (A^3/atom): 14.97
Formation energy from the elements (meV per atom): 139
ρ (g cm⁻³): 9.24

Unit cell a=2.780 b=4.035 c=5.337 alpha=90.00 beta=90.00 gamma=90.00
Site moments in Bohr magnetons follow the coordinates.
Atoms (fractional coordinates):
Fe (0.000, 0.000, 0.491)  2.68
Fe (0.000, 0.000, 0.009)  2.68
Au (0.500, 0.500, 0.750)  0.01
Mg (0.500, 0.500, 0.250)  -0.05

---

No. 6
DFT (PBE-GGA) results for a relaxed Mg2FeAu crystal.

Computed properties:
V (A^3/atom): 16.76
Formation energy from the elements (meV per atom): -107
ρ (g cm⁻³): 7.47

Unit cell a=3.059 b=3.130 c=7.668 alpha=65.93 beta=90.00 gamma=90.00
Site moments in Bohr magnetons follow the coordinates.
Atoms (fractional coordinates):
Au (0.500, 0.250, 0.250)  0.00
Mg (0.000, 0.008, 0.993)  -0.02
Mg (0.000, 0.492, 0.507)  -0.02
Fe (0.500, 0.750, 0.750)  2.58